The following is a PBE calculation of a geometry-optimized RbCaAlO3 structure, from Alexandria via LeMat-Bulk.

Lattice parameters (Å, degrees): 3.7616 6.8260 7.7860 104.84 90.00 105.99
Fractional coordinates of all 12 atoms:
O1 0.1537 0.3073 0.3608
O2 0.8463 0.6927 0.6392
Rb1 0.6521 0.3042 0.0697
O3 0.5098 0.0197 0.3151
O4 0.1332 0.2665 0.7613
O5 0.4902 0.9803 0.6849
Ca1 0.3413 0.6825 0.4223
Al1 0.9904 0.9809 0.6980
Rb2 0.3479 0.6958 0.9303
Al2 0.0096 0.0191 0.3020
Ca2 0.6587 0.3175 0.5777
O6 0.8668 0.7335 0.2387

Output
Symmetry: C2/m, No. 12
ΔE_f (raw): -2.3049 eV per atom
Size of the total moment: 0.00 μB/f.u.

***

The following is a PBE calculation of a geometry-optimized AgAs4 structure, from Alexandria via LeMat-Bulk.

Lattice parameters (Å, degrees): 5.4991 5.4991 5.4991 98.48 98.48 134.83
Fractional coordinates of all 5 atoms:
As1 0.5000 0.7538 0.2538
Ag1 0.0000 0.0000 0.0000
As2 0.2462 0.5000 0.7462
As3 0.7538 0.5000 0.2538
As4 0.5000 0.2462 0.7462

Output
Symmetry: I4/mmm, No. 139
E above lowest polymorph: 0.000 eV/atom
Energy relative to the elements: 0.26 eV/atom
Size of the total moment: 0.00 μB/f.u.

***

The following is a PBE calculation of a geometry-optimized HoMgRhO4 structure, from Alexandria via LeMat-Bulk.

Lattice parameters (Å, degrees): 6.3606 6.2623 6.5334 121.44 90.00 120.52
Fractional coordinates of all 14 atoms:
Ho1 0.5000 0.0000 0.0000
O1 0.2353 0.4707 0.2672
O2 0.7647 0.5293 0.7328
O3 0.2353 0.4707 0.7034
O4 0.2675 0.0084 0.2542
Rh1 0.5000 0.5000 0.5000
Mg1 0.8890 0.7780 0.1390
Mg2 0.1110 0.2220 0.8610
O5 0.7325 0.9916 0.7458
Ho2 0.5000 0.0000 0.5000
O6 0.7408 0.0084 0.2542
Rh2 0.0000 0.5000 0.5000
O7 0.2592 0.9916 0.7458
O8 0.7647 0.5293 0.2966

Output
Symmetry: Imma, No. 74
ΔE_f (raw): -2.2303 eV per atom
Size of the total moment: 0.00 μB/f.u.

***

The following is a PBE calculation of a geometry-optimized RbHfCu2 structure, from Alexandria via LeMat-Bulk.

Lattice parameters (Å, degrees): 4.9689 4.9689 4.9689 60.00 60.00 60.00
Fractional coordinates of all 4 atoms:
Cu1 0.2500 0.2500 0.2500
Rb1 0.0000 0.0000 0.0000
Cu2 0.7500 0.7500 0.7500
Hf1 0.5000 0.5000 0.5000

Output
Symmetry: Fm-3m, No. 225
E above lowest polymorph: 0.009 eV/atom
Energy relative to the elements: 0.94 eV/atom
Size of the total moment: 0.00 μB/f.u.

***

The following is a PBE calculation of a geometry-optimized KIr3 structure, from Alexandria via LeMat-Bulk.

Lattice parameters (Å, degrees): 4.0739 4.0739 4.0739 90.00 90.00 90.00
Fractional coordinates of all 4 atoms:
Ir1 0.5000 0.0000 0.5000
Ir2 0.5000 0.5000 0.0000
Ir3 0.0000 0.5000 0.5000
K1 0.0000 0.0000 0.0000

Output
Symmetry: Pm-3m, No. 221
E above lowest polymorph: 0.755 eV/atom
Energy relative to the elements: 1.25 eV/atom
Size of the total moment: 0.00 μB/f.u.

***

The following is a PBE calculation of a geometry-optimized CdGa3Sn structure, from Alexandria via LeMat-Bulk.

Lattice parameters (Å, degrees): 5.1632 5.9015 8.8613 120.48 106.94 90.00
Fractional coordinates of all 10 atoms:
Ga1 0.1804 0.7693 0.3607
Ga2 0.6010 0.3968 0.2021
Cd1 0.1981 0.2974 0.3961
Ga3 0.0070 0.2586 0.0139
Ga4 0.3990 0.6032 0.7979
Ga5 0.8196 0.2307 0.6393
Cd2 0.8019 0.7026 0.6039
Ga6 0.9930 0.7414 0.9861
Sn1 0.3938 0.1003 0.7876
Sn2 0.6062 0.8997 0.2124

Output
Symmetry: C2/m, No. 12
E above lowest polymorph: 0.012 eV/atom
Energy relative to the elements: 0.06 eV/atom
Size of the total moment: 0.00 μB/f.u.

***

The following is a PBE calculation of a geometry-optimized Be2MoAu structure, from Alexandria via LeMat-Bulk.

Lattice parameters (Å, degrees): 4.2777 4.2777 4.2777 60.00 60.00 60.00
Each line ends with the local moment (μB).
Fractional coordinates of all 4 atoms:
Au1 0.5000 0.5000 0.5000  0.14
Be1 0.0000 0.0000 0.0000  0.04
Mo1 0.7500 0.7500 0.7500  1.66
Be2 0.2500 0.2500 0.2500  -0.03

Output
Symmetry: F-43m, No. 216
E above lowest polymorph: 0.469 eV/atom
Energy relative to the elements: 0.47 eV/atom
Size of the total moment: 2.05 μB/f.u.

***

The following is a PBE calculation of a geometry-optimized LiTlCu structure, from Alexandria via LeMat-Bulk.

Lattice parameters (Å, degrees): 5.0131 5.0131 5.0131 139.61 140.03 58.12
Fractional coordinates of all 3 atoms:
Tl1 0.6661 0.6662 0.0000
Li1 0.3452 0.3452 0.0000
Cu1 0.9887 0.9887 0.0000

Output
Symmetry: Imm2, No. 44
E above lowest polymorph: 0.000 eV/atom
Energy relative to the elements: -0.02 eV/atom
Size of the total moment: 0.00 μB/f.u.

***

Which formula does entry 2 have?
AgAs4